(1)
Density functional theory data (SCAN) for a PBEsol-optimized structure of Ca2MgAgTe.

## Properties
Symmetry: P4/mmm (123)

Unit cell a=5.3469 b=5.6435 c=5.6435 alpha=90.00 beta=90.00 gamma=90.00
Element x y z (fractional)
Ca: 0.0000 0.5000 0.0000
Ca: 0.0000 0.0000 0.5000
Ag: 0.0000 0.0000 0.0000
Te: 0.5000 0.0000 0.0000
Mg: 0.5000 0.5000 0.5000

---

(2)
Density functional theory data (SCAN) for a PBEsol-optimized structure of InTc2SbI.

## Properties
Symmetry: P4/mmm (123)

Unit cell a=5.0793 b=5.0793 c=5.4442 alpha=90.00 beta=90.00 gamma=90.00
Each line ends with the local moment (μB).
Element x y z (fractional)
In: 0.0000 0.0000 0.0000  -0.11
Sb: 0.5000 0.5000 0.5000  -0.17
I: 0.0000 0.0000 0.5000  0.07
Tc: 0.5000 0.0000 0.0000  2.91
Tc: 0.0000 0.5000 0.0000  2.91

---

(3)
Density functional theory data (SCAN) for a PBEsol-optimized structure of WSeS2Cl.

## Properties
Symmetry: P4/mmm (123)

Unit cell a=4.6347 b=4.6347 c=4.6327 alpha=90.00 beta=90.00 gamma=90.00
Element x y z (fractional)
S: 0.5000 0.0000 0.0000
S: 0.0000 0.5000 0.0000
Cl: 0.0000 0.0000 0.5000
W: 0.0000 0.0000 0.0000
Se: 0.5000 0.5000 0.5000

---

(4)
Density functional theory data (SCAN) for a PBEsol-optimized structure of Si2TcMo.

## Properties
Symmetry: C2/m (12)
Polymorph energy (0 for the lowest one), eV/f.u.: 1.33

Unit cell a=2.8410 b=4.2550 c=4.9399 alpha=100.84 beta=90.00 gamma=109.50
Element x y z (fractional)
Tc: 0.5000 0.0000 0.0000
Mo: 0.0000 0.0000 0.5000
Si: 0.2459 0.4919 0.2265
Si: 0.7541 0.5081 0.7735

---

(5)
Density functional theory data (SCAN) for a PBEsol-optimized structure of AsRhWBr2.

## Properties
Symmetry: P4/mmm (123)

Unit cell a=4.8818 b=4.9030 c=4.9030 alpha=90.00 beta=90.00 gamma=90.00
Each line ends with the local moment (μB).
Element x y z (fractional)
W: 0.0000 0.0000 0.0000  -0.64
Br: 0.0000 0.5000 0.0000  0.01
Br: 0.0000 0.0000 0.5000  0.01
As: 0.5000 0.0000 0.0000  0.10
Rh: 0.5000 0.5000 0.5000  1.44

---

(6)
Density functional theory data (SCAN) for a PBEsol-optimized structure of Sc2SiSe.

## Properties
Symmetry: P4/mmm (123)
Polymorph energy (0 for the lowest one), eV/f.u.: 0.05

Unit cell a=3.8199 b=3.8199 c=5.3784 alpha=90.00 beta=90.00 gamma=90.00
Element x y z (fractional)
Se: 0.0000 0.0000 0.0000
Si: 0.5000 0.5000 0.5000
Sc: 0.5000 0.5000 0.0000
Sc: 0.0000 0.0000 0.5000

---

Ordered DOS(E_F) results: 2.33, 5.27, 5.42, 2.31, 5.29, 0.88; unit states/eV/cell.
Ordered energy relative to the elements, uncorrected results: -0.07, 1.91, 0.31, -0.11, 1.18, -1.28; unit eV per atom.